(1)
The following is a PBE-GGA calculation of a relaxed structure of Sr3CaIn2, from the Alexandria database. Values from VASP.

Cell and atoms, written as Quantum ESPRESSO input:
```
&SYSTEM
  ibrav = 0, nat = 12, ntyp = 3
/
ATOMIC_SPECIES
Sr 87.62 Sr.upf
Ca 40.08 Ca.upf
In 114.82 In.upf
CELL_PARAMETERS angstrom
-4.115 5.056 -3.113
-5.232 -1.330 4.757
8.164 4.422 4.774
ATOMIC_POSITIONS angstrom
Sr -2.343 2.880 3.670
Sr 1.160 5.269 2.748
Sr 0.643 2.024 6.715
Sr -1.826 6.125 -0.297
Sr -5.982 1.531 2.011
Sr -3.365 2.196 -0.367
Ca -1.308 -0.332 1.189
Ca -3.924 -0.997 3.568
In -0.116 2.768 0.646
In -1.067 5.380 5.772
In 3.698 3.405 5.019
In -4.881 4.744 1.398
```

***

(2)
The following is a PBE-GGA calculation of a relaxed structure of SrCa2In, from the Alexandria database. Values from VASP.

Cell and atoms, written as Quantum ESPRESSO input:
```
&SYSTEM
  ibrav = 0, nat = 4, ntyp = 3
/
ATOMIC_SPECIES
Sr 87.62 Sr.upf
Ca 40.08 Ca.upf
In 114.82 In.upf
CELL_PARAMETERS angstrom
5.131 0.000 0.000
0.000 5.131 0.000
0.000 0.000 5.439
ATOMIC_POSITIONS angstrom
Sr 0.000 2.565 2.720
Ca 0.000 0.000 0.000
Ca 2.565 2.565 0.000
In 2.565 0.000 2.720
```

***

(3)
The following is a PBE-GGA calculation of a relaxed structure of SrCa2In2, from the Alexandria database. Values from VASP.

Cell and atoms, written as Quantum ESPRESSO input:
```
&SYSTEM
  ibrav = 0, nat = 10, ntyp = 3
/
ATOMIC_SPECIES
Sr 87.62 Sr.upf
Ca 40.08 Ca.upf
In 114.82 In.upf
CELL_PARAMETERS angstrom
-3.013 -1.912 1.787
-1.832 -1.860 -5.080
9.871 -10.958 0.452
ATOMIC_POSITIONS angstrom
Sr 3.109 -10.885 -1.952
Sr 1.917 -3.845 -0.889
Ca -0.576 -2.534 -3.681
Ca 5.601 -12.196 0.840
Ca 2.474 -6.877 -3.191
Ca 2.551 -7.854 0.350
In -0.515 -5.723 -2.535
In 5.540 -9.007 -0.306
In 6.259 -12.271 -2.581
In -1.234 -2.459 -0.260
```

Summary:
polymorph energy (0 for the lowest one) = 17.2 meV per atom

***

The evaluated DFT total energy for the records listed, in turn: -2.37 -2.30 -2.58 eV/atom.
The evaluated energy relative to the elements for the records listed, in turn: -1.67 -0.77 -1.73 eV/f.u..